DFT (PBE-GGA) results for a geometry-optimized Sm6TlPb structure.

Geometry as extended XYZ:
```
8
Lattice="4.9448 0.0000 0.0000 0.0000 4.9448 0.0000 0.0000 0.0000 9.8726" Properties=species:S:1:pos:R:3 pbc="T T T"
Tl 0.0000 0.0000 4.9363
Sm 0.0000 2.4724 2.4685
Sm 2.4724 2.4724 4.9363
Sm 2.4724 2.4724 0.0000
Pb 0.0000 0.0000 0.0000
Sm 2.4724 0.0000 7.4041
Sm 0.0000 2.4724 7.4041
Sm 2.4724 0.0000 2.4685
```

Computed properties:
* VASP energy: -4.562 eV per atom
* energy of formation from the pure elements: -203 kJ/mol of formula units
* calculated volume: 30.2 Å³ per atom



DFT (PBE-GGA) results for a geometry-optimized GdLuBiPb structure.

Geometry as extended XYZ:
```
4
Lattice="5.4733 0.0000 0.0000 2.7366 4.7400 0.0000 2.7366 1.5800 4.4689" Properties=species:S:1:pos:R:3 pbc="T T T"
Gd 5.4733 3.1600 2.2345
Lu 0.0000 0.0000 0.0000
Bi 8.2099 4.7400 3.3517
Pb 2.7366 1.5800 1.1172
```

Computed properties:
* VASP energy: -6.985 eV per atom
* energy of formation from the pure elements: -169 kJ/mol of formula units
* calculated volume: 29.0 Å³ per atom



DFT (PBE-GGA) results for a geometry-optimized Tb3Cr5Te12 structure.

Geometry as extended XYZ:
```
80
Lattice="14.6646 0.0000 0.0000 -4.8882 13.8260 0.0000 -4.8882 -6.9130 11.9736" Properties=species:S:1:pos:R:3 pbc="T T T"
Te 5.5524 -1.8218 10.9172
Te 7.4617 3.8306 4.5359
Te -3.0336 7.8970 9.4662
Cr 1.2221 4.3206 10.4769
Tb -1.2221 6.0489 7.4835
Te -2.5735 -5.4693 11.5722
Te 3.1083 8.7388 1.0495
Cr -4.8882 3.4565 5.9868
Tb 3.6662 7.7771 7.4835
Cr 3.6662 10.3695 2.9934
Te 4.2987 -1.7770 3.8809
Te 4.7588 2.3870 7.0363
Te -1.7799 -0.0040 9.8677
Te -6.0125 3.6843 8.4942
Cr 4.8882 6.9130 0.0000
Te 5.4777 5.9289 9.4662
Te 6.0125 -1.1711 7.0432
Te 1.8546 5.1359 8.0927
Te -4.2987 6.1200 6.3883
Te 1.7799 -1.8258 10.9241
Cr 4.8882 -3.4565 5.9868
Cr 0.0000 0.0000 0.0000
Cr 7.3323 0.0000 0.0000
Cr -2.4441 -3.4565 5.9868
Cr -3.6662 7.7771 4.4901
Te 9.9059 -3.0823 7.4378
Te 6.2080 10.5973 3.4794
Cr 1.2221 -3.4565 8.9802
Te -1.3198 -3.6843 8.4942
Cr 6.1103 3.4565 8.9802
Tb 3.6662 0.0000 8.9802
Tb 8.5544 4.3206 1.4967
Cr 2.4441 3.4565 5.9868
Te -1.1243 8.0841 4.9304
Tb -3.6662 -2.5924 10.4769
Tb 1.2221 -0.8641 4.4901
Te -4.7588 5.4693 11.5722
Te 9.6470 1.4436 0.4015
Te 10.9007 3.2287 3.4794
Te -0.6642 8.7348 1.0564
Te 2.3147 9.3000 4.9373
Cr -1.2221 3.4565 2.9934
Te 3.5684 5.7419 4.9304
Te -1.3198 4.8554 10.5227
Te 3.0336 1.7770 3.8809
Te 2.5735 -2.3870 7.0363
Te -5.0176 9.9953 4.5359
Te 0.1294 4.5260 4.9373
Tb 6.1103 0.8641 4.4901
Te 1.3198 1.1711 7.0432
Tb 10.9985 0.0000 2.9934
Te 7.4618 12.3823 0.4015
Te -1.8546 -0.7930 5.5853
Cr 6.1103 -4.3206 10.4769
Te 6.7428 7.7060 6.3883
Tb 8.5544 9.5053 1.4967
Te 3.1083 5.0912 1.0564
Te -5.5524 0.0040 9.8677
Cr -1.2221 0.8641 7.4835
Tb -3.6662 2.5924 10.4769
Cr 6.1103 6.0489 4.4901
Te 1.7799 1.8218 10.9172
Cr -2.4441 6.9130 0.0000
Te 6.6681 6.9170 2.1059
Te 9.1869 0.7930 5.5853
Te -3.7639 11.7684 1.4510
Te -0.6642 5.0872 1.0495
Te 8.6521 -4.8554 10.5227
Te 7.9218 -0.9841 2.5074
Te 6.2080 2.0576 1.4510
Tb 1.2221 6.9130 2.9934
Te 0.5895 8.6900 8.0927
Te 5.5524 1.8258 10.9241
Te -0.5895 0.9841 2.5074
Cr 3.6662 2.5924 1.4967
Tb -6.1103 6.9130 8.9802
Te -2.5735 3.0824 7.4378
Cr -1.2221 11.2336 1.4967
Te 10.4406 6.9090 2.1059
Cr 8.5544 -0.8641 7.4835
```

Computed properties:
* uncorrected formation energy: -0.48 eV per atom
* VASP energy: -5.460 eV per atom
* calculated volume: 30.3 Å³ per atom



DFT (PBE-GGA) results for a geometry-optimized CoAg2Br structure.

Geometry as extended XYZ:
```
4
Lattice="-2.0248 -3.3885 -0.5172 2.8096 -1.9848 2.0039 -2.3241 0.7743 4.0255" Properties=species:S:1:pos:R:3 pbc="T T T"
Ag 0.3924 -2.6866 0.7433
Ag 0.0000 0.0000 0.0000
Co 0.2428 -0.6052 3.0147
Br -2.1744 -1.3071 1.7541
```

Computed properties:
* uncorrected formation energy: 0.54 eV per atom
* VASP energy: -3.084 eV per atom
* calculated volume: 18.7 Å³ per atom



DFT (PBE-GGA) results for a geometry-optimized TbNd12Dy6 structure.

Geometry as extended XYZ:
```
19
Lattice="9.0721 -0.6136 -3.0908 -4.1310 8.1003 -3.0908 -0.4050 -0.6136 9.5757" Properties=species:S:1:pos:R:3 pbc="T T T"
Nd -1.6574 6.5752 4.4907
Nd 6.1936 0.2979 -1.0967
Dy 4.1006 4.7249 0.5128
Dy 1.2630 5.6280 2.4765
Nd 3.7064 2.6156 -2.4035
Nd -1.6620 5.8119 -1.7638
Dy 3.6961 3.3740 3.7892
Nd 4.5358 6.1163 -2.8573
Nd 0.0004 0.7569 6.2513
Nd 0.8298 4.2575 5.7975
Nd -2.0384 4.4363 1.5876
Nd 6.5746 2.4369 1.8064
Dy 3.2732 1.2451 0.9175
Dy 0.4356 2.1482 2.8812
Dy 0.8401 3.4992 -0.3952
Nd 1.6359 7.0032 -0.8400
Nd 6.1982 1.0612 5.1578
Tb 0.0000 0.0000 0.0000
Nd 2.9003 -0.1301 4.2340
```

Computed properties:
* VASP energy: -4.693 eV per atom
* energy of formation from the pure elements: 27 kJ/mol of formula units
* calculated volume: 33.9 Å³ per atom



DFT (PBE-GGA) results for a geometry-optimized Re2IrW2 structure.

Geometry as extended XYZ:
```
10
Lattice="-6.3958 -2.8863 -2.3621 2.3315 -6.7541 1.9399 -1.1614 0.3718 2.6905" Properties=species:S:1:pos:R:3 pbc="T T T"
W -0.0781 -4.7641 2.2463
Ir 0.0000 0.0000 0.0000
W -2.8711 -7.3802 1.4021
Ir -2.0322 -4.8202 -0.2111
W -2.3546 -1.8883 0.8661
Re -0.0312 -2.8466 0.3799
Re -3.7553 -2.7653 -1.2390
Re -4.0331 -6.7938 -0.8022
W -5.1476 -4.5044 0.0220
Re -0.3090 -6.8751 0.8167
```

Computed properties:
* VASP energy: -11.519 eV per atom
* energy of formation from the pure elements: 199 kJ/mol of formula units
* calculated volume: 16.2 Å³ per atom



DFT (PBE-GGA) results for a geometry-optimized Y2Sc5Ni2 structure.

Geometry as extended XYZ:
```
18
Lattice="6.1690 0.0000 2.2393 0.0000 6.5361 0.0000 -0.2034 0.0000 10.1775" Properties=species:S:1:pos:R:3 pbc="T T T"
Sc 1.3144 1.1247 2.6537
Ni 2.3022 5.7105 0.8357
Sc 0.3738 4.3927 2.3123
Ni 3.8668 0.8256 1.4036
Ni 0.7823 2.4424 0.2840
Sc 1.5666 4.3927 8.6434
Sc 3.0845 3.2680 1.1197
Sc 2.5072 1.1247 8.9848
Ni 5.3867 4.0937 1.9554
Sc 4.3989 2.1434 3.7734
Sc 4.6511 5.4114 9.7630
Y 4.3827 3.2680 7.1604
Y 4.6674 0.0000 6.3760
Y 1.5829 3.2680 5.2563
Y 1.2982 0.0000 6.0408
Sc 5.5917 2.1434 10.1045
Sc 0.0000 0.0000 0.0000
Sc 3.4583 5.4114 3.4320
```

Computed properties:
* VASP energy: -6.413 eV per atom
* energy of formation from the pure elements: -151 kJ/mol of formula units
* calculated volume: 23.0 Å³ per atom



DFT (PBE-GGA) results for a geometry-optimized HfMoAs2 structure.

Geometry as extended XYZ:
```
8
Lattice="5.6887 0.0000 0.0000 0.0000 5.6887 0.0000 2.8443 2.8443 6.2002" Properties=species:S:1:pos:R:3 pbc="T T T"
Mo 2.8443 5.6887 3.1001
As 4.1426 1.4222 1.5501
Hf 5.6887 2.8443 3.1001
Hf 0.0000 0.0000 0.0000
As 7.1109 6.9870 4.6502
Mo 2.8443 2.8443 0.0000
As 1.5461 4.2665 1.5501
As 4.2665 4.3904 4.6502
```

Computed properties:
* VASP energy: -7.336 eV per atom
* energy of formation from the pure elements: 71 kJ/mol of formula units
* calculated volume: 25.1 Å³ per atom



DFT (PBE-GGA) results for a geometry-optimized RbZrTlS3 structure.

Geometry as extended XYZ:
```
12
Lattice="-4.4663 -4.2385 3.0423 4.4836 -3.8345 4.7823 0.9705 3.2542 7.7297" Properties=species:S:1:pos:R:3 pbc="T T T"
S 2.8381 -2.7426 7.7639
S 2.3410 -2.2724 12.5972
S -1.8503 -2.0762 7.7903
Tl -1.3246 -4.2148 5.5827
Rb 0.4720 -0.3196 5.8948
Zr 3.2413 -4.3827 6.0708
S -2.4219 -2.2005 11.3933
Tl 2.3124 -0.6040 9.9715
Rb 0.5158 -4.4992 9.6594
S -1.3532 -2.5464 2.9570
Zr -2.2535 -0.4361 9.4834
S 3.4097 -2.6183 4.1609
```

Computed properties:
* uncorrected formation energy: -1.20 eV per atom
* VASP energy: -5.241 eV per atom
* calculated volume: 32.1 Å³ per atom



DFT (PBE-GGA) results for a geometry-optimized YAs3Ru5 structure.

Geometry as extended XYZ:
```
18
Lattice="-0.1006 2.9944 0.9015 -6.5499 -1.5287 -1.0827 -1.2799 -4.1290 13.5723" Properties=species:S:1:pos:R:3 pbc="T T T"
Ru -3.6800 -3.7880 12.1716
Ru -6.6086 -0.6735 1.4996
Ru -1.3218 -1.9898 11.8915
As -6.0295 -3.9424 12.4225
Ru -4.2503 1.1247 1.2195
As -5.5195 -2.2970 7.0139
Ru -6.8499 -1.4521 4.0591
As -2.6043 -3.1046 10.0218
Ru -1.0804 -1.2111 9.3319
Y -5.4734 -1.6208 10.2026
Ru -4.6714 -0.2338 5.6848
As -5.3261 0.4413 3.3693
As -2.4109 -0.3663 6.3772
Ru -0.6400 -2.0645 6.7862
As -1.9008 1.2792 0.9685
Ru -3.2589 -2.4295 7.7063
Ru 0.0000 0.0000 0.0000
Y -2.4569 -1.0424 3.1885
```

Computed properties:
* VASP energy: -7.609 eV per atom
* energy of formation from the pure elements: -163 kJ/mol of formula units
* calculated volume: 16.4 Å³ per atom



DFT (PBE-GGA) results for a geometry-optimized PrHfN structure.

Geometry as extended XYZ:
```
3
Lattice="6.0484 0.0000 0.0000 0.0000 3.3796 0.0000 0.0000 -1.6898 2.9268" Properties=species:S:1:pos:R:3 pbc="T T T"
N 1.7430 0.0000 1.9512
Pr 3.5302 1.6898 0.9756
Hf 0.7752 0.0000 0.0000
```

Computed properties:
* uncorrected formation energy: -0.89 eV per atom
* VASP energy: -8.581 eV per atom
* calculated volume: 19.9 Å³ per atom



DFT (PBE-GGA) results for a geometry-optimized Nb2MoSe4 structure.

Geometry as extended XYZ:
```
7
Lattice="3.3874 0.0000 0.0000 0.0000 6.2116 0.2267 -1.6937 -2.7811 6.5185" Properties=species:S:1:pos:R:3 pbc="T T T"
Mo 0.0000 0.0000 0.0000
Se 1.6937 -0.9979 4.7249
Se 0.0000 2.0711 5.3290
Nb 0.0000 0.4593 3.2826
Se 1.6937 1.3594 1.4162
Se 0.0000 4.4284 2.0204
Nb 1.6937 2.9712 3.4627
```

Computed properties:
* uncorrected formation energy: -0.59 eV per atom
* VASP energy: -7.009 eV per atom
* calculated volume: 19.9 Å³ per atom



DFT (PBE-GGA) results for a geometry-optimized ScHPd3 structure.

Geometry as extended XYZ:
```
10
Lattice="-6.8836 -13.8411 7.0115 0.3101 -6.8224 3.1282 1.0276 7.4128 -0.6495" Properties=species:S:1:pos:R:3 pbc="T T T"
H -3.7447 -14.7534 7.2055
Sc -6.0841 -18.6109 9.3867
Sc 0.5382 5.3603 0.1035
Pd -4.6109 -6.8785 5.7973
Pd -0.7706 3.2688 1.3079
Pd -0.9350 -6.3722 3.6930
H -1.8012 1.5027 2.2848
Pd -2.4960 -8.4350 5.0267
Pd -3.0499 -4.8157 4.4635
Pd -4.7753 -16.5195 8.1823
```

Computed properties:
* VASP energy: -5.300 eV per atom
* calculated volume: 14.7 Å³ per atom



DFT (PBE-GGA) results for a geometry-optimized Li7SnPd2 structure.

Geometry as extended XYZ:
```
10
Lattice="-4.5770 -0.2440 0.2429 0.5391 -5.7003 4.4317 -0.2028 6.6493 2.8582" Properties=species:S:1:pos:R:3 pbc="T T T"
Li -2.1203 0.3525 3.7664
Li -2.3202 1.5798 1.2343
Li 0.3609 -2.7338 4.0538
Li -2.1045 2.1883 5.9082
Pd -1.9733 -2.0944 4.0782
Li -2.1361 -1.4832 1.6246
Sn 0.0000 0.0000 0.0000
Li -1.9205 -0.8748 6.2985
Pd -2.2673 2.7994 3.4546
Li -0.0246 3.6829 3.2362
```

Computed properties:
* VASP energy: -2.864 eV per atom
* energy of formation from the pure elements: -82 kJ/mol of formula units
* calculated volume: 21.1 Å³ per atom



DFT (PBE-GGA) results for a geometry-optimized LiMg5Tl2 structure.

Geometry as extended XYZ:
```
16
Lattice="4.8445 0.0000 0.0000 -2.4223 4.1955 0.0000 0.0000 0.0000 18.9483" Properties=species:S:1:pos:R:3 pbc="T T T"
Mg 0.0000 2.7970 14.2112
Li 2.4223 1.3985 14.2112
Mg 0.0000 0.0000 3.1238
Mg 0.0000 2.7970 17.9754
Li 0.0000 2.7970 4.7371
Mg 0.0000 0.0000 6.3504
Tl 0.0000 2.7970 7.4719
Mg 0.0000 0.0000 15.8245
Tl 2.4223 1.3985 11.4764
Mg 0.0000 0.0000 12.5979
Mg 0.0000 2.7970 10.4470
Mg 2.4223 1.3985 4.7371
Tl 2.4223 1.3985 16.9460
Mg 2.4223 1.3985 8.5013
Mg 2.4223 1.3985 0.9729
Tl 0.0000 2.7970 2.0023
```

Computed properties:
* VASP energy: -1.824 eV per atom
* energy of formation from the pure elements: 2 kJ/mol of formula units
* calculated volume: 24.1 Å³ per atom



DFT (PBE-GGA) results for a geometry-optimized KEuO2 structure.

Geometry as extended XYZ:
```
4
Lattice="3.0954 0.0000 0.0000 0.0000 3.0954 0.0000 0.0000 0.0000 6.4873" Properties=species:S:1:pos:R:3 pbc="T T T"
Eu 1.5477 1.5477 0.0000
K 1.5477 1.5477 3.2436
O 0.0000 0.0000 1.3039
O 0.0000 0.0000 5.1834
```

Computed properties:
* uncorrected formation energy: -1.88 eV per atom
* VASP energy: -7.205 eV per atom
* calculated volume: 15.5 Å³ per atom